# 1
# BaLa4W

Crystalline BaLa4W at its relaxed geometry (GGA-PBEsol, Alexandria).

- Crystal system: cubic
- Size of the total moment: 0.21 μB per atom
- Uncorrected energy: -5.28 eV/atom
- Formation energy from the elements: 0.9399 eV per atom

Lattice parameters (Å, degrees): 6.343 6.343 6.343 60.00 60.00 60.00
Last column: magnetic moment on the atom in μB.
Fractional coordinates of all 6 atoms:
Ba  0.000  0.000  0.000  0.00
La  0.378  0.378  0.378  0.06
La  0.378  0.378  0.866  0.06
La  0.866  0.378  0.378  0.06
La  0.378  0.866  0.378  0.06
W  0.750  0.750  0.750  -1.11

***

# 2
# Ba2LaY

Crystalline Ba2LaY at its relaxed geometry (GGA-PBEsol, Alexandria).

- Crystal system: tetragonal
- Size of the total moment: 0.00 μB per atom
- Uncorrected energy: -3.86 eV/atom
- Formation energy from the elements: 0.2570 eV per atom

Lattice parameters (Å, degrees): 5.391 5.391 5.622 90.00 90.00 90.00
Fractional coordinates of all 4 atoms:
Ba  0.000  0.500  0.000
Ba  0.500  0.000  0.000
La  0.500  0.500  0.500
Y  0.000  0.000  0.500